The following is a GGA+U calculation of a relaxed structure of Na2VO4, from Alexandria.

Calculated values
electronic total energy = -0.21776 Ha/atom
crystal system = triclinic

Cell lengths 6.923, 7.357, 8.548 Å; angles 85.27, 87.00, 76.08 degrees
Sites, in units of the cell vectors:
Na: 0.003 0.375 0.334
Na: 0.173 0.808 0.956
Na: 0.376 0.011 0.310
Na: 0.410 0.532 0.293
Na: 0.590 0.468 0.707
Na: 0.624 0.989 0.690
Na: 0.827 0.192 0.044
Na: 0.997 0.625 0.666
V: 0.082 0.131 0.691
V: 0.315 0.303 0.951
V: 0.685 0.697 0.049
V: 0.918 0.869 0.309
O: 0.024 0.055 0.286
O: 0.074 0.669 0.387
O: 0.141 0.162 0.894
O: 0.253 0.520 0.850
O: 0.295 0.320 0.150
O: 0.303 0.067 0.580
O: 0.421 0.313 0.527
O: 0.444 0.797 0.106
O: 0.556 0.203 0.894
O: 0.579 0.687 0.473
O: 0.697 0.933 0.420
O: 0.705 0.680 0.850
O: 0.747 0.480 0.150
O: 0.859 0.838 0.106
O: 0.926 0.331 0.613
O: 0.976 0.945 0.714